Entry 1:
Compound: CaAl2PPt
Source: the Alexandria database
Functional: PBE-GGA
Structure: relaxed

Lattice parameters (Å, degrees): 5.466 5.466 4.910 90.00 90.00 90.00
Space group P4/mmm (No. 123)
One atom of each set of equivalent atoms:
1 Ca 0.000 0.000 0.000 [1 per cell]
2 Al 0.000 0.500 0.000 [2 per cell]
3 P 0.500 0.500 0.500 [1 per cell]
4 Pt 0.000 0.000 0.500 [1 per cell]

Properties
Crystal system: tetragonal

---

Entry 2:
Compound: Ca2AlPPt6
Source: the Alexandria database
Functional: PBE-GGA
Structure: relaxed

Lattice parameters (Å, degrees): 5.633 6.316 6.896 73.10 66.05 63.74
Space group P-1 (No. 2)
One atom of each set of equivalent atoms:
1 Ca 0.225 0.230 0.320 [2 per cell]
2 Al 0.500 0.500 0.500 [1 per cell]
3 P 0.000 0.000 0.000 [1 per cell]
4 Pt 0.240 0.249 0.785 [2 per cell]
5 Pt 0.250 0.642 0.858 [2 per cell]
6 Pt 0.275 0.751 0.215 [2 per cell]

Properties
Crystal system: triclinic

---

Entry 3:
Compound: CaAl2PRh
Source: the Alexandria database
Functional: PBE-GGA
Structure: relaxed

Lattice parameters (Å, degrees): 5.392 5.392 4.667 90.00 90.00 90.00
Space group P4/mmm (No. 123)
One atom of each set of equivalent atoms:
1 Ca 0.000 0.000 0.000 [1 per cell]
2 Al 0.000 0.500 0.000 [2 per cell]
3 P 0.500 0.500 0.500 [1 per cell]
4 Rh 0.000 0.000 0.500 [1 per cell]

Properties
Crystal system: tetragonal

---

Formation enthalpy at 0 K values, unit eV per atom, following the record order: 1.404 -0.777 1.487.